{"formula": "Nd4SmEr2Mg", "functional": "PBE", "state": "optimized geometry", "formation_enthalpy_0k_mev_per_atom": 5.3, "density_g_cm3": 7.0, "cell": [[5.0862, 0.0000, 0.0000], [0.0000, 5.0862, 0.0000], [0.0000, 0.0000, 10.0009]], "species": ["Nd", "Nd", "Nd", "Nd", "Sm", "Er", "Er", "Mg"], "fractional_positions": [[0.0000, 0.5000, 0.2443], [0.0000, 0.5000, 0.7557], [0.5000, 0.0000, 0.2443], [0.5000, 0.0000, 0.7557], [0.0000, 0.0000, 0.5000], [0.0000, 0.0000, 0.0000], [0.5000, 0.5000, 0.5000], [0.5000, 0.5000, 0.0000]]}